# 1
BeNbCrO2 | the Alexandria database | PBEsol | optimized geometry; formation energy (no corrections) = -0.14 eV per atom
1.0
-0.585 -1.146 -3.307
-0.008 -3.352 1.164
-5.067 0.288 0.796
Cr Nb O Be
1 1 2 1
Direct
0.000 0.000 0.000
0.000 0.000 0.500
0.000 0.500 0.000
0.500 0.000 0.000
0.500 0.500 0.500

---

# 2
BeNbCrSi2 | the Alexandria database | PBEsol | optimized geometry; formation energy (no corrections) = 1.17 eV per atom
1.0
4.449 0.000 0.000
0.000 4.721 0.000
0.000 0.000 4.721
Cr Nb Si Be
1 1 2 1
Direct
0.500 0.500 0.500
0.000 0.000 0.000
0.000 0.000 0.500
0.000 0.500 0.000
0.500 0.000 0.000

---

# 3
BeCrNi6: optimized geometry, PBEsol.

Geometry as POSCAR:
```
BeCrNi6
1.0
5.940 -0.004 0.000
-1.999 5.594 0.000
0.000 0.000 9.718
Be Cr Ni
4 4 24
Direct
0.256 0.744 0.500
0.744 0.256 0.500
0.000 0.000 0.745
0.000 0.000 0.255
0.253 0.747 0.000
0.747 0.253 0.000
0.500 0.500 0.743
0.500 0.500 0.257
0.250 0.750 0.749
0.876 0.627 0.874
0.124 0.373 0.874
0.750 0.250 0.749
0.373 0.124 0.874
0.627 0.876 0.874
0.500 0.500 0.500
0.123 0.373 0.624
0.373 0.123 0.624
0.250 0.750 0.251
0.877 0.627 0.376
0.123 0.373 0.376
0.750 0.250 0.251
0.373 0.123 0.376
0.627 0.877 0.376
0.500 0.500 0.000
0.124 0.373 0.126
0.373 0.124 0.126
0.000 0.000 0.500
0.627 0.877 0.624
0.877 0.627 0.624
0.000 0.000 0.000
0.627 0.876 0.126
0.876 0.627 0.126
```

---

# 4
BeCr2NiPb: optimized geometry, PBEsol.

Geometry as POSCAR:
```
BeCr2NiPb
1.0
-0.429 -4.227 1.906
3.630 1.142 3.350
-3.509 1.794 3.190
Pb Ni Be Cr
1 1 1 2
Direct
0.000 0.000 0.000
0.500 0.000 0.000
0.500 0.500 0.500
0.000 0.000 0.500
0.000 0.500 0.000
```

---

# 5
BeCrNi2Rh: optimized geometry, PBEsol.

Geometry as POSCAR:
```
BeCrNi2Rh
1.0
3.837 0.000 0.000
0.000 3.837 0.000
0.000 0.000 4.010
Ni Rh Be Cr
2 1 1 1
Direct
0.000 0.500 0.000
0.500 0.000 0.000
0.000 0.000 0.500
0.000 0.000 0.000
0.500 0.500 0.500
```

---

# 6
BeCr2O4 | the Alexandria database | PBEsol | optimized geometry; formation energy (no corrections) = -2.16 eV per atom
1.0
-3.620 0.645 -2.632
2.493 -2.958 -4.153
-3.987 -8.228 3.468
Be O Cr
4 16 8
Direct
0.069 0.250 0.406
0.431 0.250 0.906
0.931 0.750 0.594
0.569 0.750 0.094
0.720 0.250 0.407
0.780 0.250 0.907
0.280 0.750 0.593
0.220 0.750 0.093
0.271 0.250 0.060
0.229 0.250 0.560
0.729 0.750 0.940
0.771 0.750 0.440
0.240 0.022 0.336
0.260 0.478 0.836
0.760 0.522 0.664
0.740 0.978 0.164
0.760 0.978 0.664
0.740 0.522 0.164
0.240 0.478 0.336
0.260 0.022 0.836
0.503 0.250 0.230
0.997 0.250 0.730
0.497 0.750 0.770
0.003 0.750 0.270
0.500 0.500 0.500
0.000 0.000 0.000
0.500 0.000 0.500
0.000 0.500 0.000

---

| no. | E (eV for the cell shown) |
| --- | --- |
| 1 | -36.28 |
| 2 | -30.71 |
| 3 | -208.30 |
| 4 | -24.76 |
| 5 | -33.00 |
| 6 | -242.48 |